(a)
This record from the Alexandria database describes a relaxed structure of BaTl3Au3. The functional is PBE.

The value obtained for the density is 11.1 g/cm³.

The space group is R-3 (No. 148, hexagonal axes) and the conventional cell measures 8.7509, 8.7509 and 18.2108 Å, with angles of 90.00, 90.00 and 120.00 degrees. The asymmetric unit holds Ba at (0.0000, 0.0000, 0.2214), Tl at (0.0204, 0.2310, 0.5818) and Au at (0.0626, 0.8286, 0.9351).

(b)
This record from the Alexandria database describes a relaxed structure of BaTl3Au3. The functional is PBE.

The value obtained for the density is 11.1 g/cm³.

The space group is P6_3/m (No. 176) and the conventional cell measures 9.7251, 9.7251 and 4.8932 Å, with angles of 90.00, 90.00 and 120.00 degrees. The asymmetric unit holds Ba at (0.3333, 0.6667, 0.2500), Tl at (0.0419, 0.7781, 0.7500) and Au at (0.0557, 0.4584, 0.7500).

(c)
This record from the Alexandria database describes a relaxed structure of BaTl3Au3. The functional is PBE.

The value obtained for the density is 9.2 g/cm³.

The space group is Pm-3n (No. 223) and the conventional cell measures 7.856, 7.856 and 7.856 Å, with angles of 90.00, 90.00 and 90.00 degrees. The asymmetric unit holds Ba at (0.000, 0.000, 0.000), Tl at (0.000, 0.250, 0.500) and Au at (0.000, 0.500, 0.250).

Each structure's energy above the most stable one, in meV per atom: (a) 93; (b) 0; (c) 248.

(a)
This record from the Alexandria database describes a relaxed structure of Ba5TlAu. The functional is PBE.

The value obtained for the density is 5.4 g/cm³.

The space group is C2/c (No. 15) and the conventional cell measures 15.092, 12.535 and 8.638 Å, with angles of 90.00, 124.52 and 90.00 degrees. The asymmetric unit holds Ba at (0.000, 0.008, 0.250), Ba at (0.002, 0.282, 0.011), Ba at (0.218, 0.497, 0.720), Tl at (0.250, 0.250, 0.500) and Au at (0.000, 0.493, 0.750).

(b)
This record from the Alexandria database describes a relaxed structure of Ba5TlAu. The functional is PBE.

The value obtained for the density is 5.0 g/cm³.

The space group is C2/c (No. 15) and the conventional cell measures 14.110, 8.574 and 12.842 Å, with angles of 90.00, 112.56 and 90.00 degrees. The asymmetric unit holds Ba at (0.000, 0.045, 0.250), Ba at (0.108, 0.340, 0.010), Ba at (0.223, 0.163, 0.640), Tl at (0.000, 0.459, 0.250) and Au at (0.000, 0.000, 0.000).

Each structure's energy above the most stable one, in meV per atom: (a) 49; (b) 0.

(a)
This record from the Alexandria database describes a relaxed structure of Ba4TlAu. The functional is PBE.

The value obtained for the density is 5.8 g/cm³.

The space group is P4/mmm (No. 123) and the conventional cell measures 4.200, 4.200 and 15.403 Å, with angles of 90.00, 90.00 and 90.00 degrees. The asymmetric unit holds Ba at (0.000, 0.000, 0.121), Ba at (0.500, 0.500, 0.364), Tl at (0.000, 0.000, 0.500) and Au at (0.500, 0.500, 0.000).

(b)
This record from the Alexandria database describes a relaxed structure of Ba4TlAu. The functional is PBE.

The value obtained for the density is 5.6 g/cm³.

The space group is C2/c (No. 15) and the conventional cell measures 10.884, 15.834 and 7.861 Å, with angles of 90.00, 124.31 and 90.00 degrees. The asymmetric unit holds Ba at (0.121, 0.179, 0.090), Ba at (0.204, 0.442, 0.277), Tl at (0.000, 0.365, 0.750) and Au at (0.000, 0.002, 0.250).

(c)
This record from the Alexandria database describes a relaxed structure of Ba4TlAu. The functional is PBE.

The value obtained for the density is 6.0 g/cm³.

The space group is F-43m (No. 216) and the conventional cell measures 10.186, 10.186 and 10.186 Å, with angles of 90.00, 90.00 and 90.00 degrees. The asymmetric unit holds Ba at (0.125, 0.125, 0.125), Tl at (0.250, 0.250, 0.750) and Au at (0.000, 0.000, 0.500).

Each structure's energy above the most stable one, in meV per atom: (a) 0; (b) 15; (c) 701.

(a)
This record from the Alexandria database describes a relaxed structure of BaTlAu4. The functional is PBE.

The value obtained for the density is 13.2 g/cm³.

The space group is F-43m (No. 216) and the conventional cell measures 8.286, 8.286 and 8.286 Å, with angles of 90.00, 90.00 and 90.00 degrees. The asymmetric unit holds Ba at (0.000, 0.000, 0.000), Tl at (0.250, 0.250, 0.750) and Au at (0.124, 0.124, 0.376).

(b)
This record from the Alexandria database describes a relaxed structure of BaTlAu4. The functional is PBE.

The value obtained for the density is 11.4 g/cm³.

The space group is Pbam (No. 55) and the conventional cell measures 9.809, 16.002 and 4.193 Å, with angles of 90.00, 90.00 and 90.00 degrees. The asymmetric unit holds Ba at (0.123, 0.142, 0.000), Tl at (0.139, 0.413, 0.000), Au at (0.012, 0.297, 0.500), Au at (0.125, 0.964, 0.500), Au at (0.130, 0.554, 0.500) and Au at (0.212, 0.795, 0.500).

Each structure's energy above the most stable one, in meV per atom: (a) 0; (b) 22.

(a)
This record from the Alexandria database describes a relaxed structure of BaTl3Au8. The functional is PBE.

The value obtained for the density is 13.9 g/cm³.

The space group is P3m1 (No. 156) and the conventional cell measures 5.7033, 5.7033 and 9.8869 Å, with angles of 90.00, 90.00 and 120.00 degrees. The asymmetric unit holds Ba at (0.0000, 0.0000, 0.0000), Tl at (0.0000, 0.0000, 0.3958), Tl at (0.6667, 0.3333, 0.4883), Tl at (0.6667, 0.3333, 0.8371), Au at (0.1661, 0.3323, 0.6855), Au at (0.3333, 0.6667, 0.4370), Au at (0.3333, 0.6667, 0.9397) and Au at (0.5017, 0.0034, 0.1911).

(b)
This record from the Alexandria database describes a relaxed structure of BaTl3Au8. The functional is PBE.

The value obtained for the density is 14.0 g/cm³.

The space group is R3m (No. 160, hexagonal axes) and the conventional cell measures 5.7149, 5.7149 and 29.2265 Å, with angles of 90.00, 90.00 and 120.00 degrees. The asymmetric unit holds Ba at (0.0000, 0.0000, 0.0000), Tl at (0.0000, 0.0000, 0.1288), Tl at (0.0000, 0.0000, 0.4979), Tl at (0.0000, 0.0000, 0.6155), Au at (0.0000, 0.0000, 0.3137), Au at (0.0000, 0.0000, 0.8134), Au at (0.1672, 0.3344, 0.3974) and Au at (0.1675, 0.3350, 0.8954).

Each structure's energy above the most stable one, in meV per atom: (a) 0; (b) 12.

(a)
This record from the Alexandria database describes a relaxed structure of Ba2TlAu3. The functional is PBE.

The value obtained for the density is 9.6 g/cm³.

The space group is Fmmm (No. 69) and the conventional cell measures 8.608, 10.056 and 17.095 Å, with angles of 90.00, 90.00 and 90.00 degrees. The asymmetric unit holds Ba at (0.242, 0.000, 0.000), Ba at (0.250, 0.250, 0.250), Tl at (0.000, 0.000, 0.333), Au at (0.000, 0.000, 0.164) and Au at (0.000, 0.249, 0.083).

(b)
This record from the Alexandria database describes a relaxed structure of Ba2TlAu3. The functional is PBE.

The value obtained for the density is 9.3 g/cm³.

The space group is Imm2 (No. 44) and the conventional cell measures 4.544, 4.634 and 18.118 Å, with angles of 90.00, 90.00 and 90.00 degrees. The asymmetric unit holds Ba at (0.000, 0.000, 0.000), Ba at (0.000, 0.500, 0.227), Tl at (0.000, 0.000, 0.399), Au at (0.000, 0.000, 0.565), Au at (0.000, 0.500, 0.653) and Au at (0.000, 0.500, 0.807).

Each structure's energy above the most stable one, in meV per atom: (a) 17; (b) 0.